1.
Density functional theory data (PBE) for a relaxed PmNbP2 crystal.

Summary:
Energy above the most stable polymorph in this dataset = 0 meV/atom

Unit cell a=6.705 b=6.705 c=6.705 alpha=32.99 beta=32.99 gamma=32.99
Sites, in units of the cell vectors:
Pm1 0.000 0.000 0.000
Nb1 0.500 0.500 0.500
P1 0.239 0.239 0.239
P2 0.761 0.761 0.761

---

2.
Density functional theory data (PBE) for a relaxed PmNbP2 crystal.

Summary:
Energy above the most stable polymorph in this dataset = 553 meV/atom

Unit cell a=4.727 b=4.727 c=3.327 alpha=90.00 beta=90.00 gamma=90.00
Sites, in units of the cell vectors:
Pm1 0.000 0.000 0.000
Nb1 0.500 0.500 0.000
P1 0.000 0.500 0.500
P2 0.500 0.000 0.500

---

3.
Density functional theory data (PBE) for a relaxed PmNbP2 crystal.

Summary:
Energy above the most stable polymorph in this dataset = 465 meV/atom

Unit cell a=4.707 b=4.707 c=4.707 alpha=60.00 beta=60.00 gamma=60.00
Sites, in units of the cell vectors:
Pm1 0.000 0.000 0.000
Nb1 0.500 0.500 0.500
P1 0.250 0.250 0.250
P2 0.750 0.750 0.750

---

4.
Density functional theory data (PBE) for a relaxed PmNbP2Rh5 crystal.

Unit cell a=4.026 b=4.026 c=10.219 alpha=90.00 beta=90.00 gamma=90.00
Sites, in units of the cell vectors:
Pm1 0.000 0.000 0.000
Nb1 0.000 0.000 0.500
P1 0.500 0.500 0.222
P2 0.500 0.500 0.778
Rh1 0.000 0.500 0.331
Rh2 0.000 0.500 0.669
Rh3 0.500 0.000 0.331
Rh4 0.500 0.000 0.669
Rh5 0.500 0.500 0.000

---

5.
Density functional theory data (PBE) for a relaxed Pm2NbP3Rh12 crystal.

Unit cell a=7.077 b=7.077 c=7.077 alpha=73.48 beta=73.48 gamma=73.48
Sites, in units of the cell vectors:
Pm1 0.104 0.104 0.104
Pm2 0.896 0.896 0.896
Nb1 0.500 0.500 0.500
P1 0.000 0.500 0.500
P2 0.500 0.000 0.500
P3 0.500 0.500 0.000
Rh1 0.132 0.649 0.649
Rh2 0.174 0.174 0.589
Rh3 0.174 0.589 0.174
Rh4 0.351 0.351 0.868
Rh5 0.351 0.868 0.351
Rh6 0.411 0.826 0.826
Rh7 0.589 0.174 0.174
Rh8 0.649 0.132 0.649
Rh9 0.649 0.649 0.132
Rh10 0.826 0.411 0.826
Rh11 0.826 0.826 0.411
Rh12 0.868 0.351 0.351

---

6.
Density functional theory data (PBE) for a relaxed PmNbP2Ru crystal.

Unit cell a=5.801 b=5.801 c=5.801 alpha=137.17 beta=137.17 gamma=62.18
Sites, in units of the cell vectors:
Pm1 0.000 0.000 0.000
Nb1 0.750 0.250 0.500
P1 0.372 0.372 0.000
P2 0.628 0.628 0.000
Ru1 0.250 0.750 0.500

---

Number 1: N(E_F) 1.74 states/eV per cell, raw total energy -29.98 eV/cell, ΔE_f -104.6 kJ/mol of atoms. Number 2: N(E_F) 3.83 states/eV per cell, raw total energy -27.77 eV/cell, ΔE_f -51.3 kJ/mol of atoms. Number 3: N(E_F) 3.31 states/eV per cell, raw total energy -28.12 eV/cell, ΔE_f -59.8 kJ/mol of atoms. Number 4: N(E_F) 2.55 states/eV per cell, raw total energy -68.25 eV/cell, ΔE_f -62.8 kJ/mol of atoms. Number 5: N(E_F) 16.91 states/eV per cell, raw total energy -128.22 eV/cell, ΔE_f -22.5 kJ/mol of atoms. Number 6: N(E_F) 5.62 states/eV per cell, raw total energy -39.10 eV/cell, ΔE_f -80.8 kJ/mol of atoms.